[1]
## Mg5Zr3S12 (PBE)

Data for a relaxed Mg5Zr3S12 crystal.

**Density of states at the Fermi level**: 0.8429 states/eV per atom
**Total magnetic moment**: 0.00 μB/f.u.
**Total energy**: -5.259 eV per atom

Cell lengths 12.9617, 12.9617, 12.9617 Å; angles 109.47, 109.47, 109.47 degrees
Fractional coordinates of all 80 atoms:
Mg: 0.0000 0.0000 0.5000
Mg: 0.7500 0.6250 0.3750
S: 0.7728 0.3242 0.9055
Zr: 0.7500 0.3750 0.1250
Zr: 0.2500 0.1250 0.3750
S: 0.4486 0.7728 0.8673
Mg: 0.5000 0.0000 0.5000
S: 0.0514 0.4187 0.8242
S: 0.7272 0.5945 0.1758
S: 0.9486 0.3673 0.2728
Zr: 0.8750 0.7500 0.1250
S: 0.0945 0.1758 0.2272
S: 0.7272 0.1327 0.0514
S: 0.5813 0.6327 0.4055
S: 0.3673 0.9486 0.7728
S: 0.1327 0.7272 0.5514
Mg: 0.7500 0.1250 0.8750
S: 0.5514 0.2272 0.1327
Mg: 0.0000 0.0000 0.0000
S: 0.0514 0.6327 0.7272
S: 0.7728 0.4486 0.3673
Zr: 0.1250 0.2500 0.8750
Zr: 0.6250 0.2500 0.3750
S: 0.2728 0.8673 0.9486
S: 0.6327 0.5813 0.9055
S: 0.1758 0.0813 0.9486
Mg: 0.5000 0.0000 0.0000
S: 0.9055 0.0813 0.6327
S: 0.5945 0.7272 0.6758
Zr: 0.7500 0.8750 0.6250
S: 0.4486 0.6758 0.0813
S: 0.4187 0.3673 0.5945
S: 0.3242 0.7728 0.4055
S: 0.8673 0.5945 0.9187
S: 0.9187 0.0945 0.8673
S: 0.6758 0.2272 0.5945
Mg: 0.8750 0.6250 0.7500
S: 0.9187 0.8242 0.5514
S: 0.6327 0.0514 0.2272
S: 0.6758 0.4486 0.5813
Mg: 0.2500 0.8750 0.1250
Zr: 0.2500 0.6250 0.8750
S: 0.2272 0.6758 0.0945
S: 0.2728 0.4055 0.8242
S: 0.1327 0.4055 0.0813
Mg: 0.6250 0.8750 0.2500
Mg: 0.3750 0.1250 0.7500
Mg: 0.5000 0.5000 0.0000
Zr: 0.3750 0.6250 0.2500
S: 0.4187 0.0514 0.3242
S: 0.9055 0.8242 0.7728
S: 0.8673 0.2728 0.4486
S: 0.1758 0.0945 0.7272
S: 0.4055 0.1327 0.5813
S: 0.8242 0.9055 0.2728
Mg: 0.3750 0.2500 0.1250
Mg: 0.8750 0.2500 0.6250
S: 0.0813 0.1758 0.4486
S: 0.2272 0.5514 0.6327
Zr: 0.6250 0.3750 0.7500
Mg: 0.0000 0.5000 0.0000
S: 0.4055 0.2728 0.3242
S: 0.5813 0.9486 0.6758
Mg: 0.5000 0.5000 0.5000
S: 0.3242 0.5514 0.4187
S: 0.5945 0.8673 0.4187
Mg: 0.0000 0.5000 0.5000
Zr: 0.8750 0.1250 0.2500
Mg: 0.6250 0.7500 0.8750
Mg: 0.1250 0.3750 0.2500
S: 0.8242 0.9187 0.0514
Zr: 0.1250 0.8750 0.7500
S: 0.9486 0.5813 0.1758
S: 0.5514 0.3242 0.9187
Mg: 0.2500 0.3750 0.6250
S: 0.0813 0.9055 0.1327
Zr: 0.3750 0.7500 0.6250
Mg: 0.1250 0.7500 0.3750
S: 0.0945 0.9187 0.3673
S: 0.3673 0.4187 0.0945

---

[2]
## MgZrS3 (PBE)

Data for a relaxed MgZrS3 crystal.

**Density of states at the Fermi level**: 0.2452 states/eV per atom
**Total magnetic moment**: 0.00 μB/f.u.
**Total energy**: -4.799 eV per atom

Cell lengths 4.6376, 4.6376, 4.6376 Å; angles 90.00, 90.00, 90.00 degrees
Fractional coordinates of all 5 atoms:
S: 0.0000 0.0000 0.5000
Mg: 0.0000 0.0000 0.0000
S: 0.0000 0.5000 0.0000
S: 0.5000 0.0000 0.0000
Zr: 0.5000 0.5000 0.5000

---

[3]
## MgZrS2 (PBE)

Data for a relaxed MgZrS2 crystal.

**Density of states at the Fermi level**: 0.2841 states/eV per atom
**Total magnetic moment**: 0.00 μB/f.u.
**Total energy**: -5.900 eV per atom

Cell lengths 3.4922, 3.4922, 7.1558 Å; angles 75.88, 75.88, 60.00 degrees
Fractional coordinates of all 4 atoms:
S: 0.2490 0.2490 0.2529
Zr: 0.6664 0.6664 0.0007
S: 0.0847 0.0847 0.7458
Mg: 0.4998 0.4998 0.5007

---

[4]
## MgZrS2 (PBE)

Data for a relaxed MgZrS2 crystal.

**Density of states at the Fermi level**: 0.5537 states/eV per atom
**Total magnetic moment**: 1.76 μB/f.u.
**Total energy**: -5.510 eV per atom

Cell lengths 4.6098, 4.6098, 4.6098 Å; angles 60.00, 60.00, 60.00 degrees
Each line ends with the local moment (μB).
Fractional coordinates of all 4 atoms:
Mg: 0.0000 0.0000 0.0000  0.04
S: 0.2500 0.2500 0.2500  -0.01
S: 0.7500 0.7500 0.7500  -0.01
Zr: 0.5000 0.5000 0.5000  1.01

---

[5]
## MgZrS3 (PBE)

Data for a relaxed MgZrS3 crystal.

**Total magnetic moment**: 0.00 μB/f.u.
**Total energy**: -5.943 eV per atom

Cell lengths 3.7268, 6.5777, 9.0875 Å; angles 101.74, 90.00, 90.00 degrees
Fractional coordinates of all 10 atoms:
S: 0.7500 0.5065 0.8280
S: 0.2500 0.0418 0.8434
Zr: 0.2500 0.8474 0.3342
Zr: 0.7500 0.1526 0.6658
S: 0.2500 0.2286 0.4951
S: 0.2500 0.4935 0.1720
S: 0.7500 0.9582 0.1566
Mg: 0.2500 0.7183 0.9623
Mg: 0.7500 0.2817 0.0377
S: 0.7500 0.7714 0.5049

---

[6]
## MgZr2S5 (PBE)

Data for a relaxed MgZr2S5 crystal.

**Density of states at the Fermi level**: 0.1994 states/eV per atom
**Total magnetic moment**: 0.00 μB/f.u.
**Total energy**: -6.140 eV per atom

Cell lengths 4.9179, 4.8679, 7.5983 Å; angles 80.59, 71.12, 59.66 degrees
Fractional coordinates of all 8 atoms:
Zr: 0.8221 0.5000 0.8558
Mg: 0.5000 0.5000 0.5000
S: 0.4980 0.8246 0.1794
Zr: 0.1779 0.5000 0.1442
S: 0.1774 0.8246 0.8206
S: 0.8226 0.1754 0.1794
S: 0.5020 0.1754 0.8206
S: 0.0000 0.5000 0.5000

---

[7]
## MgZrS2 (PBE)

Data for a relaxed MgZrS2 crystal.

**Density of states at the Fermi level**: 0.4175 states/eV per atom
**Total magnetic moment**: 0.00 μB/f.u.
**Total energy**: -5.764 eV per atom

Cell lengths 8.5149, 8.5149, 8.5149 Å; angles 24.30, 24.30, 24.30 degrees
Fractional coordinates of all 4 atoms:
Zr: 0.5000 0.5000 0.5000
Mg: 0.0000 0.0000 0.0000
S: 0.1038 0.1038 0.1038
S: 0.8962 0.8962 0.8962

---

[8]
## MgZrS3 (PBE)

Data for a relaxed MgZrS3 crystal.

**Total magnetic moment**: 0.00 μB/f.u.
**Total energy**: -5.858 eV per atom

Cell lengths 6.4409, 6.4372, 6.4372 Å; angles 120.00, 90.00, 90.00 degrees
Fractional coordinates of all 10 atoms:
S: 0.2500 0.3289 0.0324
Mg: 0.5000 0.6667 0.3333
S: 0.2500 0.9676 0.2966
S: 0.7500 0.7034 0.0324
Zr: 0.5000 0.0000 0.0000
S: 0.2500 0.7034 0.6710
Mg: 0.0000 0.6667 0.3333
S: 0.7500 0.9676 0.6710
Zr: 0.0000 0.0000 0.0000
S: 0.7500 0.3289 0.2966

---

[9]
## MgZrS3 (PBE)

Data for a relaxed MgZrS3 crystal.

**Density of states at the Fermi level**: 0.1962 states/eV per atom
**Total magnetic moment**: 0.00 μB/f.u.
**Total energy**: -5.280 eV per atom

Cell lengths 4.9650, 4.9650, 4.9650 Å; angles 90.00, 90.00, 90.00 degrees
Fractional coordinates of all 5 atoms:
Zr: 0.0000 0.0000 0.0000
S: 0.5000 0.0000 0.0000
S: 0.0000 0.0000 0.5000
S: 0.0000 0.5000 0.0000
Mg: 0.5000 0.5000 0.5000

---

[10]
## MgZr3S (PBE)

Data for a relaxed MgZr3S crystal.

**Density of states at the Fermi level**: 0.4126 states/eV per atom
**Total magnetic moment**: 0.00 μB/f.u.
**Total energy**: -6.727 eV per atom

Cell lengths 4.8640, 4.8640, 4.8640 Å; angles 90.00, 90.00, 90.00 degrees
Fractional coordinates of all 5 atoms:
Zr: 0.5000 0.0000 0.0000
Mg: 0.5000 0.5000 0.5000
S: 0.0000 0.0000 0.0000
Zr: 0.0000 0.0000 0.5000
Zr: 0.0000 0.5000 0.0000

---

[11]
## MgZrS2 (PBE)

Data for a relaxed MgZrS2 crystal.

**Density of states at the Fermi level**: 0.1779 states/eV per atom
**Total magnetic moment**: 0.00 μB/f.u.
**Total energy**: -5.417 eV per atom

Cell lengths 7.9873, 7.9873, 7.9873 Å; angles 26.87, 26.87, 26.87 degrees
Fractional coordinates of all 4 atoms:
S: 0.1050 0.1050 0.1050
S: 0.8950 0.8950 0.8950
Mg: 0.5000 0.5000 0.5000
Zr: 0.0000 0.0000 0.0000

---

[12]
## MgZrS2 (PBE)

Data for a relaxed MgZrS2 crystal.

**Density of states at the Fermi level**: 0.9020 states/eV per atom
**Total magnetic moment**: 0.00 μB/f.u.
**Total energy**: -5.580 eV per atom

Cell lengths 5.8792, 5.8792, 6.8608 Å; angles 64.63, 64.63, 90.00 degrees
Fractional coordinates of all 8 atoms:
S: 0.3750 0.3877 0.7500
S: 0.6123 0.1250 0.2500
Mg: 0.2500 0.7500 0.5000
Zr: 0.0000 0.0000 0.0000
Mg: 0.5000 0.5000 0.0000
S: 0.1377 0.6250 0.2500
Zr: 0.7500 0.2500 0.5000
S: 0.8750 0.8623 0.7500